Crystalline BaGeHRh2 at its relaxed geometry. Source: Alexandria, functional PBE.

Structure (POSCAR):
```
BaGeHRh2
1.0
2.043 -5.875 0.000
2.043 5.875 0.000
0.000 0.000 7.235
Ba Ge H Rh
2 2 2 4
Direct
0.054 0.946 0.750
0.946 0.054 0.250
0.220 0.780 0.250
0.780 0.220 0.750
0.500 0.500 0.000
0.500 0.500 0.500
0.334 0.666 0.553
0.334 0.666 0.947
0.666 0.334 0.053
0.666 0.334 0.447
```

* N(E_F): 5.77 states/eV/cell
* electronic total energy: -0.394 Ry per atom
* space-group type: Cmcm (63)